No. 1
This record from Alexandria via LeMat-Bulk describes crystalline HfCrO4 at its relaxed geometry. The functional is PBEsol.

```
HfCrO4
1.0
4.646 0.000 0.000
0.000 4.823 0.000
0.000 0.000 11.489
Hf Cr O
4 4 16
direct
0.000 0.750 0.827
0.000 0.250 0.173
0.500 0.750 0.327
0.500 0.250 0.673
0.000 0.750 0.564
0.000 0.250 0.436
0.500 0.250 0.936
0.500 0.750 0.064
0.777 0.588 0.684
0.777 0.088 0.316
0.728 0.571 0.946
0.728 0.071 0.054
0.772 0.071 0.554
0.772 0.571 0.446
0.723 0.088 0.816
0.723 0.588 0.184
0.277 0.412 0.816
0.277 0.912 0.184
0.228 0.429 0.554
0.228 0.929 0.446
0.272 0.929 0.946
0.272 0.429 0.054
0.223 0.412 0.316
0.223 0.912 0.684
```

Its uncorrected formation energy is -2677 meV per atom. As for the electronic total energy: -9.63 eV/atom.

***

No. 2
This record from Alexandria via LeMat-Bulk describes crystalline ZnAgAs2 at its relaxed geometry. The functional is PBEsol.

```
ZnAgAs2
1.0
3.442 0.000 0.000
0.000 3.870 0.000
-1.721 -1.935 5.489
Ag As Zn
1 2 1
direct
0.704 0.204 0.407
0.970 0.970 0.940
0.292 0.792 0.583
0.535 0.535 0.070
```

As for the electronic total energy: -3.59 eV/atom.

***

No. 3
This record from Alexandria via LeMat-Bulk describes crystalline RbLiGaN2 at its relaxed geometry. The functional is PBEsol.

```
RbLiGaN2
1.0
-0.943 1.395 -4.813
4.014 -2.722 -1.575
-3.341 -4.545 -0.662
Li Ga Rb N
1 1 1 2
direct
0.500 0.500 0.500
0.000 0.000 0.500
0.000 0.000 0.000
0.000 0.500 0.000
0.500 0.000 0.000
```

Its uncorrected formation energy is 2093 meV per atom. As for the electronic total energy: -2.58 eV/atom.

***

No. 4
This record from Alexandria via LeMat-Bulk describes crystalline Hf3TiRe at its relaxed geometry. The functional is PBEsol.

```
Hf3TiRe
1.0
-0.645 4.439 1.300
-4.286 -1.067 1.517
1.740 -0.984 4.221
Re Hf Ti
1 3 1
direct
0.500 0.500 0.500
0.000 0.500 0.000
0.000 0.000 0.500
0.500 0.000 0.000
0.000 0.000 0.000
```

As for the electronic total energy: -9.25 eV/atom.

***

No. 5
This record from Alexandria via LeMat-Bulk describes crystalline Y2InPb at its relaxed geometry. The functional is PBEsol.

```
Y2InPb
1.0
-0.400 -3.443 -0.265
3.450 -0.592 2.482
-4.076 0.036 5.675
Pb Y In
1 2 1
direct
0.500 0.500 0.000
0.000 0.000 0.254
0.000 0.000 0.746
0.500 0.500 0.500
```

As for the electronic total energy: -5.69 eV/atom.

***

No. 6
This record from Alexandria via LeMat-Bulk describes crystalline ZrTlRu2 at its relaxed geometry. The functional is PBEsol.

```
ZrTlRu2
1.0
-1.495 -2.758 -3.367
2.977 -2.664 -2.286
-0.052 -4.561 0.614
Ru Tl Zr
2 1 1
direct
0.000 0.000 0.000
0.250 0.250 0.250
0.500 0.500 0.500
0.750 0.750 0.750
```

As for the electronic total energy: -7.66 eV/atom.

***

Question: The lowest electronic total energy belongs to which entry?
Answer: HfCrO4